1.
Here is a geometry-optimized Mn4AlV3 structure from the Alexandria database. Energies are from PBE.

a b c (Å): 2.9059 4.0862 8.1393
angles (deg): 90.00 90.00 90.00
With the nearest neighbours (Å) after each atom.
Fractional coordinates of all 8 atoms:
Mn: 0.0000 0.0000 0.5000  8 V 2.51-2.54
Mn: 0.0000 0.5000 0.7419  6 V 2.45-2.51, 2 Al 2.55
Mn: 0.0000 0.0000 0.0000  4 V 2.46, 4 Al 2.51
Mn: 0.0000 0.5000 0.2581  6 V 2.45-2.51, 2 Al 2.55
Al: 0.5000 0.5000 0.0000  8 Mn 2.51-2.55
V: 0.5000 0.0000 0.2441  8 Mn 2.46-2.54
V: 0.5000 0.5000 0.5000  8 Mn 2.45-2.51
V: 0.5000 0.0000 0.7559  8 Mn 2.46-2.54

Results
**Density**: 6.87 Mg/m³
**Calculated formation energy**: -0.277 eV/atom
**Total magnetization**: 1.77 μB/cell



2.
Here is a geometry-optimized Ac2BiPt structure from the Alexandria database. Energies are from PBE.

a b c (Å): 4.6032 4.6032 8.2421
angles (deg): 73.78 73.78 60.00
With the nearest neighbours (Å) after each atom.
Fractional coordinates of all 4 atoms:
Ac: 0.0718 0.0718 0.7845  3 Pt 3.16, 3 Bi 3.48
Ac: 0.2612 0.2612 0.2163  3 Pt 3.14, 3 Bi 3.44
Bi: 0.5012 0.5012 0.4963  6 Ac 3.44-3.48, 1 Pt 3.85
Pt: 0.6657 0.6657 0.0029  6 Ac 3.14-3.16

Results
**Density**: 9.95 Mg/m³
**Calculated formation energy**: -0.925 eV/atom
**Excess energy over the best structure of this formula in the dataset**: 0.000 eV per atom
**Total magnetization**: 0.00 μB/cell